# CeEr2Sc3Se6 (GGA-PBE, optimized geometry)
data_CeEr2Sc3Se6
_symmetry_space_group_name_H-M 'C 1 2/m 1'
_symmetry_Int_Tables_number 12
_symmetry_space_group_name_Hall '-C 2y'
_cell_length_a 17.362
_cell_length_b 3.969
_cell_length_c 8.012
_cell_angle_alpha 90.00
_cell_angle_beta 103.20
_cell_angle_gamma 90.00
loop_
_atom_site_label
_atom_site_fract_x
_atom_site_fract_y
_atom_site_fract_z
Ce1 0.000 0.000 0.000
Er1 0.164 0.500 0.329
Sc1 0.000 0.000 0.500
Sc2 0.163 0.500 0.837
Se1 0.002 0.500 0.732
Se2 0.166 0.000 0.590
Se3 0.174 0.000 0.081
# Theoretical density: 6.7 g/cm3
# DOS(E_F): 22.9 states/eV per cell
# Total DFT energy (no corrections): -6.241 eV/atom